# LiCd2Sb2 | Alexandria via LeMat-Bulk | PBE | relaxed
data_LiCd2Sb2
_space_group_name_H-M_alt 'P 1 21/m 1'
_space_group_IT_number 11
_space_group_name_Hall '-P 2yb'
_cell_length_a 4.7420
_cell_length_b 4.7512
_cell_length_c 11.6835
_cell_angle_alpha 90.00
_cell_angle_beta 90.16
_cell_angle_gamma 90.00
loop_
_atom_site_label
_atom_site_type_symbol
_atom_site_fract_x
_atom_site_fract_y
_atom_site_fract_z
Li1 Li 0.2474 0.2500 0.3175
Cd1 Cd 0.2541 0.2500 0.0085
Cd2 Cd 0.2543 0.2500 0.6831
Sb1 Sb 0.2453 0.7500 0.1566
Sb2 Sb 0.2499 0.7500 0.5171
# Energy above the most stable polymorph in this dataset = 0.0 meV/atom
# Formation energy from raw total energies = -0.133 eV per atom
# Size of the total moment = 0.00 μB per cell
# Calculated density = 6.00 g/cm3
# Electronic total energy = -0.0930 hartree per atom